Entry from Alexandria: a geometry-optimized NbSeI2N structure (PBE-GGA).

Calculated values
Energy above the most stable polymorph in this dataset: 0.00 eV/f.u.
Crystal system: tetragonal
Formation energy (no corrections): 0.35 eV per atom

The structure in CIF format:
```
data_NbSeI2N
_chemical_formula_sum 'Nb1 Se1 I2 N1'
_cell_length_a 5.6874
_cell_length_b 5.6874
_cell_length_c 3.9244
_cell_angle_alpha 90.00
_cell_angle_beta 90.00
_cell_angle_gamma 90.00
_space_group_name_H-M_alt 'P 1'
_space_group_IT_number 1
_space_group_name_Hall 'P 1'
loop_
_atom_site_label
_atom_site_type_symbol
_atom_site_fract_x
_atom_site_fract_y
_atom_site_fract_z
_atom_site_occupancy
Nb1 Nb 0.0000 0.0000 0.0000 1
Se1 Se 0.5000 0.5000 0.5000 1
I1 I 0.0000 0.5000 0.0000 1
I2 I 0.5000 0.0000 0.0000 1
N1 N 0.0000 0.0000 0.5000 1
```